The following is a DFT calculation (GGA+U) of an optimized crystal structure of Li3Ti3CrO8.

Output
**Total energy**: -7.63 eV/atom

a = 5.9135 Å, b = 5.9135 Å, c = 14.8685 Å
α = 90.00°, β = 90.00°, γ = 120.00°
With the nearest neighbours (Å) after each atom.
Space group R-3m (No. 166, hexagonal axes)
Symmetry-distinct sites (fractional):
Li 0.0000 0.5000 0.0000 (multiplicity 9)  6 O 2.15-2.20
Ti 0.0000 0.5000 0.5000 (multiplicity 9)  6 O 2.03-2.07
Cr 0.0000 0.0000 0.5000 (multiplicity 3)  6 O 2.01
O 0.0000 0.0000 0.2452 (multiplicity 6)  3 Ti 2.07, 3 Li 2.15
O 0.0039 0.5020 0.2397 (multiplicity 18)  1 Cr 2.01, 2 Ti 2.03, 2 Li 2.20